(1)
Here is a relaxed structure of La2Cu3NiSn4 from Alexandria via LeMat-Bulk. Energies are from GGA-PBE.

a b c (Å): 4.5293 4.5293 10.5502
angles (deg): 90.00 90.00 90.00
Sites, in units of the cell vectors:
1 La 0.5000 0.0000 0.2643
2 La 0.0000 0.5000 0.7357
3 Cu 0.0000 0.0000 0.5000
4 Cu 0.5000 0.0000 0.8636
5 Cu 0.0000 0.5000 0.1364
6 Ni 0.5000 0.5000 0.5000
7 Sn 0.5000 0.5000 0.0000
8 Sn 0.0000 0.0000 0.0000
9 Sn 0.5000 0.0000 0.6201
10 Sn 0.0000 0.5000 0.3799

## Properties
The calculated formation energy is -0.482 eV per atom. The space group is P-4m2.

=====

(2)
Here is a relaxed structure of Ac2Cu4Ge3Au from Alexandria via LeMat-Bulk. Energies are from GGA-PBE.

a b c (Å): 4.4371 4.4371 10.0610
angles (deg): 90.00 90.00 90.00
Sites, in units of the cell vectors:
1 Ac 0.5000 0.0000 0.2435
2 Ac 0.0000 0.5000 0.7565
3 Cu 0.5000 0.5000 0.0000
4 Cu 0.0000 0.0000 0.0000
5 Cu 0.5000 0.0000 0.6310
6 Cu 0.0000 0.5000 0.3690
7 Ge 0.0000 0.0000 0.5000
8 Ge 0.5000 0.0000 0.8758
9 Ge 0.0000 0.5000 0.1242
10 Au 0.5000 0.5000 0.5000

## Properties
The calculated formation energy is -0.467 eV per atom. The space group is P-4m2.

=====

(3)
Here is a relaxed structure of LiCa2CdN from Alexandria via LeMat-Bulk. Energies are from GGA-PBE.

a b c (Å): 4.9315 4.9315 4.3523
angles (deg): 90.00 90.00 90.00
Sites, in units of the cell vectors:
1 Ca 0.0000 0.5000 0.0000
2 Ca 0.5000 0.0000 0.0000
3 N 0.0000 0.0000 0.0000
4 Li 0.0000 0.0000 0.5000
5 Cd 0.5000 0.5000 0.5000

## Properties
The energy above the most stable polymorph in this dataset comes out at 0.0 meV per atom. The space group is P4/mmm.

=====

(4)
Here is a relaxed structure of ThZr2Te from Alexandria via LeMat-Bulk. Energies are from GGA-PBE.

a b c (Å): 3.8085 3.8085 6.8664
angles (deg): 90.00 90.00 90.00
Sites, in units of the cell vectors:
1 Te 0.5000 0.5000 0.0000
2 Zr 0.0000 0.0000 0.7703
3 Zr 0.0000 0.0000 0.2297
4 Th 0.5000 0.5000 0.5000

## Properties
The space group is P4/mmm. Its calculated total energy is -7.252 eV per atom.

=====

(5)
Here is a relaxed structure of SrZnBr2 from Alexandria via LeMat-Bulk. Energies are from GGA-PBE.

a b c (Å): 5.5117 5.5117 5.5117
angles (deg): 60.00 60.00 60.00
Sites, in units of the cell vectors:
1 Br 0.0000 0.0000 0.0000
2 Br 0.2500 0.2500 0.2500
3 Sr 0.5000 0.5000 0.5000
4 Zn 0.7500 0.7500 0.7500

## Properties
The energy above the most stable polymorph in this dataset comes out at 367.5 meV per atom. The space group is F-43m.

=====

(6)
Here is a relaxed structure of Sr4Cu from Alexandria via LeMat-Bulk. Energies are from GGA-PBE.

a b c (Å): 6.1390 6.1390 6.1390
angles (deg): 90.00 90.00 90.00
Sites, in units of the cell vectors:
1 Sr 0.0000 0.0000 0.0000
2 Sr 0.5000 0.0000 0.5000
3 Sr 0.0000 0.5000 0.5000
4 Sr 0.5000 0.5000 0.0000
5 Cu 0.5000 0.5000 0.5000

## Properties
The energy above the most stable polymorph in this dataset comes out at 0.0 meV per atom. The calculated formation energy is -0.015 eV per atom. The space group is Pm-3m.

=====

(7)
Here is a relaxed structure of AlFeCu2 from Alexandria via LeMat-Bulk. Energies are from GGA-PBE.

a b c (Å): 8.5562 8.5562 8.5562
angles (deg): 17.76 17.76 17.76
Sites, in units of the cell vectors:
1 Fe 0.2500 0.2500 0.2500
2 Cu 0.0000 0.0000 0.0000
3 Cu 0.5000 0.5000 0.5000
4 Al 0.7500 0.7500 0.7500

## Properties
The calculated formation energy is 0.078 eV per atom. The space group is R-3m.

=====

(8)
Here is a relaxed structure of EuAl2Sn from Alexandria via LeMat-Bulk. Energies are from GGA-PBE.

a b c (Å): 5.1342 5.1342 5.1336
angles (deg): 60.00 60.00 60.00
Sites, in units of the cell vectors:
1 Eu 0.5000 0.5000 0.5000
2 Sn 0.0000 0.0000 0.0000
3 Al 0.2499 0.2499 0.2503
4 Al 0.7501 0.7501 0.7497

## Properties
The energy above the most stable polymorph in this dataset comes out at 236.0 meV per atom. The calculated formation energy is -0.062 eV per atom. The space group is Fm-3m.

=====

(9)
Here is a relaxed structure of BeMo3H from Alexandria via LeMat-Bulk. Energies are from GGA-PBE.

a b c (Å): 3.9258 3.9258 3.9258
angles (deg): 90.00 90.00 90.00
Sites, in units of the cell vectors:
1 Be 0.5000 0.5000 0.5000
2 Mo 0.0000 0.5000 0.0000
3 Mo 0.0000 0.0000 0.5000
4 Mo 0.5000 0.0000 0.0000
5 H 0.0000 0.0000 0.0000

## Properties
The energy above the most stable polymorph in this dataset comes out at 0.0 meV per atom. The space group is Pm-3m.

=====

(10)
Here is a relaxed structure of Tb2Sm3Cd2 from Alexandria via LeMat-Bulk. Energies are from GGA-PBE.

a b c (Å): 5.0839 3.4948 11.8911
angles (deg): 90.00 77.66 90.00
Sites, in units of the cell vectors:
1 Tb 0.7102 0.5000 0.5796
2 Tb 0.2898 0.5000 0.4204
3 Sm 0.8558 0.0000 0.2883
4 Sm 0.0000 0.0000 0.0000
5 Sm 0.1442 0.0000 0.7117
6 Cd 0.5689 0.5000 0.8622
7 Cd 0.4311 0.5000 0.1378

## Properties
The energy above the most stable polymorph in this dataset comes out at 105.1 meV per atom. The calculated formation energy is -0.051 eV per atom. The space group is Cmmm.

=====

(11)
Here is a relaxed structure of Ag2HgMo from Alexandria via LeMat-Bulk. Energies are from GGA-PBE.

a b c (Å): 10.1189 10.1189 10.1189
angles (deg): 16.49 16.49 16.49
Sites, in units of the cell vectors:
1 Ag 0.0037 0.0037 0.0037
2 Ag 0.4963 0.4963 0.4963
3 Hg 0.2500 0.2500 0.2500
4 Mo 0.7500 0.7500 0.7500

## Properties
The calculated formation energy is 0.389 eV per atom. The space group is R-3m.

=====

(12)
Here is a relaxed structure of PmPuHg from Alexandria via LeMat-Bulk. Energies are from GGA-PBE.

a b c (Å): 3.3911 5.2968 5.2968
angles (deg): 120.00 90.00 90.00
Sites, in units of the cell vectors:
1 Pm 0.3074 0.6667 0.3333
2 Hg 0.9878 0.0000 0.0000
3 Pu 0.7049 0.3333 0.6667

## Properties
The energy above the most stable polymorph in this dataset comes out at 165.2 meV per atom. The calculated formation energy is -0.019 eV per atom. The space group is P3m1.

=====

(13)
Here is a relaxed structure of Rb2NaBe from Alexandria via LeMat-Bulk. Energies are from GGA-PBE.

a b c (Å): 12.8748 12.8748 9.5398
angles (deg): 47.56 47.56 90.00
Sites, in units of the cell vectors:
1 Na 0.0000 0.0000 0.0000
2 Na 0.7500 0.2500 0.5000
3 Rb 0.4673 0.1250 0.2500
4 Rb 0.2827 0.6250 0.2500
5 Rb 0.3750 0.5327 0.7500
6 Rb 0.8750 0.7173 0.7500
7 Be 0.5000 0.5000 0.0000
8 Be 0.2500 0.7500 0.5000

## Properties
The calculated formation energy is 0.640 eV per atom. The space group is I-42d.

=====

(14)
Here is a relaxed structure of Sc2BeNi from Alexandria via LeMat-Bulk. Energies are from GGA-PBE.

a b c (Å): 4.3822 4.3822 4.3822
angles (deg): 60.00 60.00 60.00
Sites, in units of the cell vectors:
1 Sc 0.0000 0.0000 0.0000
2 Sc 0.2500 0.2500 0.2500
3 Ni 0.7500 0.7500 0.7500
4 Be 0.5000 0.5000 0.5000

## Properties
The calculated formation energy is -0.095 eV per atom. The space group is F-43m.

=====

(15)
Here is a relaxed structure of SnPt2C from Alexandria via LeMat-Bulk. Energies are from GGA-PBE.

a b c (Å): 4.4474 4.4474 4.4474
angles (deg): 60.00 60.00 60.00
Sites, in units of the cell vectors:
1 C 0.0000 0.0000 0.0000
2 Sn 0.5000 0.5000 0.5000
3 Pt 0.2500 0.2500 0.2500
4 Pt 0.7500 0.7500 0.7500

## Properties
The energy above the most stable polymorph in this dataset comes out at 821.0 meV per atom. The calculated formation energy is 1.072 eV per atom. The space group is Fm-3m.

=====

(16)
Here is a relaxed structure of GaSb3I from Alexandria via LeMat-Bulk. Energies are from GGA-PBE.

a b c (Å): 5.4104 5.4104 5.4104
angles (deg): 90.00 90.00 90.00
Sites, in units of the cell vectors:
1 I 0.5000 0.5000 0.5000
2 Sb 0.0000 0.5000 0.0000
3 Sb 0.0000 0.0000 0.5000
4 Sb 0.5000 0.0000 0.0000
5 Ga 0.0000 0.0000 0.0000

## Properties
The energy above the most stable polymorph in this dataset comes out at 0.0 meV per atom. The space group is Pm-3m.

=====

(17)
Here is a relaxed structure of Np2MnZn2Ge4 from Alexandria via LeMat-Bulk. Energies are from GGA-PBE.

a b c (Å): 6.1315 6.1315 6.1315
angles (deg): 90.76 119.56 119.56
Sites, in units of the cell vectors:
1 Np 0.5000 0.7500 0.2500
2 Np 0.5000 0.2500 0.7500
3 Mn 0.0000 0.0000 0.0000
4 Zn 0.0000 0.7147 0.7147
5 Zn 0.0000 0.2853 0.2853
6 Ge 0.0000 0.7230 0.2770
7 Ge 0.4461 0.7230 0.7230
8 Ge 0.0000 0.2770 0.7230
9 Ge 0.5539 0.2770 0.2770

## Properties
The calculated formation energy is -0.129 eV per atom. The space group is I4/mmm.

=====

(18)
Here is a relaxed structure of BeS5Cl from Alexandria via LeMat-Bulk. Energies are from GGA-PBE.

a b c (Å): 5.1180 4.0546 11.3518
angles (deg): 93.77 97.82 120.05
Sites, in units of the cell vectors:
1 Be 0.8004 0.3004 0.6007
2 S 0.9305 0.1621 0.2035
3 S 0.0413 0.5413 0.0826
4 S 0.2730 0.0414 0.2035
5 S 0.2264 0.5789 0.7266
6 S 0.5001 0.1477 0.7265
7 Cl 0.7590 0.7590 0.5180

## Properties
The space group is C2. Its calculated total energy is -3.923 eV per atom.

=====

(19)
Here is a relaxed structure of Ba3GaIr from Alexandria via LeMat-Bulk. Energies are from GGA-PBE.

a b c (Å): 6.0585 6.0585 6.0585
angles (deg): 90.00 90.00 90.00
Sites, in units of the cell vectors:
1 Ir 0.0000 0.0000 0.0000
2 Ba 0.0000 0.5000 0.0000
3 Ba 0.0000 0.0000 0.5000
4 Ba 0.5000 0.0000 0.0000
5 Ga 0.5000 0.5000 0.5000

## Properties
The energy above the most stable polymorph in this dataset comes out at 199.7 meV per atom. The calculated formation energy is -0.025 eV per atom. The space group is Pm-3m.

=====

(20)
Here is a relaxed structure of CsCd from Alexandria via LeMat-Bulk. Energies are from GGA-PBE.

a b c (Å): 5.7547 5.3760 7.5654
angles (deg): 90.00 112.32 90.00
Sites, in units of the cell vectors:
1 Cs 0.6479 0.2500 0.2962
2 Cs 0.3521 0.7500 0.7038
3 Cd 0.9526 0.2500 0.9048
4 Cd 0.0474 0.7500 0.0952

## Properties
The calculated formation energy is -0.051 eV per atom. The space group is Cmcm.